1.
# La2PaSb3Rh4 (PBE, optimized geometry)
# **V**: 22.83 Å³ per atom
# **Final energy**: -6.975 eV/atom
# **Formation energy from raw total energies**: -863 meV/atom
# **M_tot**: 0.50 μB per formula unit
# **DOS(E_F)**: 10.55 states/eV per cell
data_La2PaSb3Rh4
_chemical_formula_sum 'La2 Pa1 Sb3 Rh4'
_cell_length_a 4.510
_cell_length_b 4.510
_cell_length_c 11.227
_cell_angle_alpha 90.00
_cell_angle_beta 90.00
_cell_angle_gamma 90.00
_space_group_name_H-M_alt 'P -4 m 2'
_space_group_IT_number 115
_space_group_name_Hall 'P -4 -2'
loop_
_atom_site_label
_atom_site_type_symbol
_atom_site_fract_x
_atom_site_fract_y
_atom_site_fract_z
_atom_site_occupancy
La1 La 0.000 0.500 0.222 1
Pa1 Pa 0.000 0.000 0.500 1
Sb1 Sb 0.000 0.500 0.870 1
Sb2 Sb 0.500 0.500 0.500 1
Rh1 Rh 0.000 0.000 0.000 1
Rh2 Rh 0.000 0.500 0.637 1
Rh3 Rh 0.500 0.500 0.000 1

2.
# La2ScPa2Rh5 (PBE, optimized geometry)
# **V**: 21.23 Å³ per atom
# **Final energy**: -7.842 eV/atom
# **M_tot**: 0.00 μB per formula unit
# **DOS(E_F)**: 18.79 states/eV per cell
# **Energy of formation**: -62.53 kJ per mole of atoms
data_La2ScPa2Rh5
_chemical_formula_sum 'La4 Sc2 Pa4 Rh10'
_cell_length_a 11.020
_cell_length_b 11.020
_cell_length_c 3.496
_cell_angle_alpha 90.00
_cell_angle_beta 90.00
_cell_angle_gamma 90.00
_space_group_name_H-M_alt 'P 4/m b m'
_space_group_IT_number 127
_space_group_name_Hall '-P 4 2ab'
loop_
_atom_site_label
_atom_site_type_symbol
_atom_site_fract_x
_atom_site_fract_y
_atom_site_fract_z
_atom_site_occupancy
La1 La 0.163 0.337 0.000 1
Sc1 Sc 0.000 0.000 0.000 1
Pa1 Pa 0.147 0.647 0.000 1
Rh1 Rh 0.000 0.500 0.500 1
Rh2 Rh 0.066 0.813 0.500 1

3.
# LaPaSi2Rh5 (PBE, optimized geometry)
# **V**: 19.86 Å³ per atom
# **Final energy**: -7.686 eV/atom
# **Formation energy from raw total energies**: -794 meV/atom
# **M_tot**: 0.00 μB per formula unit
# **DOS(E_F)**: 4.19 states/eV per cell
data_LaPaSi2Rh5
_chemical_formula_sum 'La1 Pa1 Si2 Rh5'
_cell_length_a 4.040
_cell_length_b 4.040
_cell_length_c 10.949
_cell_angle_alpha 90.00
_cell_angle_beta 90.00
_cell_angle_gamma 90.00
_space_group_name_H-M_alt 'P 4/m m m'
_space_group_IT_number 123
_space_group_name_Hall '-P 4 2'
loop_
_atom_site_label
_atom_site_type_symbol
_atom_site_fract_x
_atom_site_fract_y
_atom_site_fract_z
_atom_site_occupancy
La1 La 0.000 0.000 0.000 1
Pa1 Pa 0.000 0.000 0.500 1
Si1 Si 0.500 0.500 0.214 1
Rh1 Rh 0.000 0.500 0.326 1
Rh2 Rh 0.500 0.500 0.000 1

4.
# La2TmPa2Rh5 (PBE, optimized geometry)
# **V**: 21.88 Å³ per atom
# **Final energy**: -7.673 eV/atom
# **M_tot**: 0.00 μB per formula unit
# **DOS(E_F)**: 20.74 states/eV per cell
# **Energy of formation**: -64.22 kJ per mole of atoms
data_La2TmPa2Rh5
_chemical_formula_sum 'La4 Tm2 Pa4 Rh10'
_cell_length_a 11.083
_cell_length_b 11.083
_cell_length_c 3.563
_cell_angle_alpha 90.00
_cell_angle_beta 90.00
_cell_angle_gamma 90.00
_space_group_name_H-M_alt 'P 4/m b m'
_space_group_IT_number 127
_space_group_name_Hall '-P 4 2ab'
loop_
_atom_site_label
_atom_site_type_symbol
_atom_site_fract_x
_atom_site_fract_y
_atom_site_fract_z
_atom_site_occupancy
La1 La 0.167 0.333 0.000 1
Tm1 Tm 0.000 0.000 0.000 1
Pa1 Pa 0.142 0.642 0.000 1
Rh1 Rh 0.000 0.500 0.500 1
Rh2 Rh 0.061 0.804 0.500 1

5.
# LaPaRu2 (PBE, optimized geometry)
# **V**: 21.67 Å³ per atom
# **Final energy**: -8.635 eV/atom
# **M_tot**: 0.00 μB per formula unit
# **DOS(E_F)**: 3.00 states/eV per cell
# **Energy of formation**: -37.77 kJ per mole of atoms
data_LaPaRu2
_chemical_formula_sum 'La1 Pa1 Ru2'
_cell_length_a 3.415
_cell_length_b 3.415
_cell_length_c 7.432
_cell_angle_alpha 90.00
_cell_angle_beta 90.00
_cell_angle_gamma 90.00
_space_group_name_H-M_alt 'P 4/m m m'
_space_group_IT_number 123
_space_group_name_Hall '-P 4 2'
loop_
_atom_site_label
_atom_site_type_symbol
_atom_site_fract_x
_atom_site_fract_y
_atom_site_fract_z
_atom_site_occupancy
La1 La 0.000 0.000 0.000 1
Pa1 Pa 0.000 0.000 0.500 1
Ru1 Ru 0.500 0.500 0.302 1

6.
# LaPaRu2 (PBE, optimized geometry)
# **V**: 21.26 Å³ per atom
# **Final energy**: -8.432 eV/atom
# **M_tot**: 0.00 μB per formula unit
# **DOS(E_F)**: 17.82 states/eV per cell
# **Energy of formation**: -18.17 kJ per mole of atoms
data_LaPaRu2
_chemical_formula_sum 'La4 Pa4 Ru8'
_cell_length_a 6.981
_cell_length_b 6.981
_cell_length_c 6.981
_cell_angle_alpha 90.00
_cell_angle_beta 90.00
_cell_angle_gamma 90.00
_space_group_name_H-M_alt 'F m -3 m'
_space_group_IT_number 225
_space_group_name_Hall '-F 4 2 3'
loop_
_atom_site_label
_atom_site_type_symbol
_atom_site_fract_x
_atom_site_fract_y
_atom_site_fract_z
_atom_site_occupancy
La1 La 0.000 0.000 0.000 1
Pa1 Pa 0.000 0.000 0.500 1
Ru1 Ru 0.250 0.250 0.250 1

7.
# LaPaRu (PBE, optimized geometry)
# **Excess energy over the best structure of this formula in the dataset**: 206.3 meV/atom
# **V**: 28.12 Å³ per atom
# **Final energy**: -8.024 eV/atom
# **M_tot**: 0.00 μB per formula unit
# **DOS(E_F)**: 5.13 states/eV per cell
# **Energy of formation**: -12.01 kJ per mole of atoms
data_LaPaRu
_chemical_formula_sum 'La1 Pa1 Ru1'
_cell_length_a 4.3794
_cell_length_b 4.3794
_cell_length_c 5.0799
_cell_angle_alpha 90.00
_cell_angle_beta 90.00
_cell_angle_gamma 120.00
_space_group_name_H-M_alt 'P -6 m 2'
_space_group_IT_number 187
_space_group_name_Hall 'P -6 2'
loop_
_atom_site_label
_atom_site_type_symbol
_atom_site_fract_x
_atom_site_fract_y
_atom_site_fract_z
_atom_site_occupancy
La1 La 0.0000 0.0000 0.0000 1
Pa1 Pa 0.3333 0.6667 0.5000 1
Ru1 Ru 0.6667 0.3333 0.5000 1

8.
# LaPaRu (PBE, optimized geometry)
# **Excess energy over the best structure of this formula in the dataset**: 50.7 meV/atom
# **V**: 24.32 Å³ per atom
# **Final energy**: -8.180 eV/atom
# **M_tot**: 0.00 μB per formula unit
# **DOS(E_F)**: 7.48 states/eV per cell
# **Energy of formation**: -27.03 kJ per mole of atoms
data_LaPaRu
_chemical_formula_sum 'La2 Pa2 Ru2'
_cell_length_a 3.555
_cell_length_b 3.555
_cell_length_c 11.546
_cell_angle_alpha 90.00
_cell_angle_beta 90.00
_cell_angle_gamma 90.00
_space_group_name_H-M_alt 'I 4 m m'
_space_group_IT_number 107
_space_group_name_Hall 'I 4 -2'
loop_
_atom_site_label
_atom_site_type_symbol
_atom_site_fract_x
_atom_site_fract_y
_atom_site_fract_z
_atom_site_occupancy
La1 La 0.000 0.000 0.000 1
Pa1 Pa 0.000 0.000 0.301 1
Ru1 Ru 0.000 0.000 0.704 1

9.
# La3Pa2Ru4 (PBE, optimized geometry)
# **V**: 24.89 Å³ per atom
# **Final energy**: -8.262 eV/atom
# **M_tot**: 0.00 μB per formula unit
# **DOS(E_F)**: 21.80 states/eV per cell
# **Energy of formation**: -37.30 kJ per mole of atoms
data_La3Pa2Ru4
_chemical_formula_sum 'La12 Pa8 Ru16'
_cell_length_a 10.562
_cell_length_b 10.425
_cell_length_c 8.669
_cell_angle_alpha 90.00
_cell_angle_beta 110.15
_cell_angle_gamma 90.00
_space_group_name_H-M_alt 'C 1 2/c 1'
_space_group_IT_number 15
_space_group_name_Hall '-C 2yc'
loop_
_atom_site_label
_atom_site_type_symbol
_atom_site_fract_x
_atom_site_fract_y
_atom_site_fract_z
_atom_site_occupancy
La1 La 0.000 0.250 0.250 1
La2 La 0.139 0.111 0.660 1
Pa1 Pa 0.104 0.400 0.948 1
Ru1 Ru 0.160 0.398 0.606 1
Ru2 Ru 0.163 0.166 0.056 1

10.
# La2PaRu2 (PBE, optimized geometry)
# **V**: 25.35 Å³ per atom
# **Final energy**: -7.986 eV/atom
# **M_tot**: 0.00 μB per formula unit
# **DOS(E_F)**: 24.08 states/eV per cell
# **Energy of formation**: -39.17 kJ per mole of atoms
data_La2PaRu2
_chemical_formula_sum 'La8 Pa4 Ru8'
_cell_length_a 10.337
_cell_length_b 6.198
_cell_length_c 8.012
_cell_angle_alpha 90.00
_cell_angle_beta 99.02
_cell_angle_gamma 90.00
_space_group_name_H-M_alt 'C 1 2/c 1'
_space_group_IT_number 15
_space_group_name_Hall '-C 2yc'
loop_
_atom_site_label
_atom_site_type_symbol
_atom_site_fract_x
_atom_site_fract_y
_atom_site_fract_z
_atom_site_occupancy
La1 La 0.151 0.115 0.150 1
Pa1 Pa 0.000 0.383 0.750 1
Ru1 Ru 0.123 0.378 0.512 1

11.
# La5PaRu4 (PBE, optimized geometry)
# **V**: 27.48 Å³ per atom
# **Final energy**: -7.458 eV/atom
# **M_tot**: 0.00 μB per formula unit
# **DOS(E_F)**: 17.14 states/eV per cell
# **Energy of formation**: -32.27 kJ per mole of atoms
data_La5PaRu4
_chemical_formula_sum 'La10 Pa2 Ru8'
_cell_length_a 18.281
_cell_length_b 4.358
_cell_length_c 7.494
_cell_angle_alpha 90.00
_cell_angle_beta 112.96
_cell_angle_gamma 90.00
_space_group_name_H-M_alt 'C 1 2/m 1'
_space_group_IT_number 12
_space_group_name_Hall '-C 2y'
loop_
_atom_site_label
_atom_site_type_symbol
_atom_site_fract_x
_atom_site_fract_y
_atom_site_fract_z
_atom_site_occupancy
La1 La 0.000 0.000 0.000 1
La2 La 0.161 0.500 0.542 1
La3 La 0.173 0.500 0.051 1
Pa1 Pa 0.000 0.000 0.500 1
Ru1 Ru 0.016 0.500 0.717 1
Ru2 Ru 0.143 0.000 0.781 1

12.
# LaPaRu2 (PBE, optimized geometry)
# **V**: 22.51 Å³ per atom
# **Final energy**: -8.666 eV/atom
# **M_tot**: 0.00 μB per formula unit
# **DOS(E_F)**: 5.75 states/eV per cell
# **Energy of formation**: -40.77 kJ per mole of atoms
data_LaPaRu2
_chemical_formula_sum 'La2 Pa2 Ru4'
_cell_length_a 5.959
_cell_length_b 4.472
_cell_length_c 7.295
_cell_angle_alpha 90.00
_cell_angle_beta 112.14
_cell_angle_gamma 90.00
_space_group_name_H-M_alt 'P 1 21/m 1'
_space_group_IT_number 11
_space_group_name_Hall '-P 2yb'
loop_
_atom_site_label
_atom_site_type_symbol
_atom_site_fract_x
_atom_site_fract_y
_atom_site_fract_z
_atom_site_occupancy
La1 La 0.174 0.250 0.408 1
Pa1 Pa 0.354 0.750 0.103 1
Ru1 Ru 0.122 0.250 0.919 1
Ru2 Ru 0.401 0.750 0.743 1

Question: The highest DOS(E_F) belongs to which entry?
Answer: La2PaRu2